A relaxed Hf2Al6Ge crystal. Source: Alexandria via LeMat-Bulk, functional PBE.

Values from the calculation:
total DFT energy (no corrections): -49.4 eV for the cell shown
DOS(E_F): 4.0 states/eV/cell
V: 158.2 Å³ per cell
space group: No. 12
E_form: -265 meV per atom

Lattice parameters (Å, degrees): 6.944 6.944 6.443 110.67 110.67 33.22
Fractional coordinates of all 9 atoms:
Hf  0.053  0.053  0.302
Hf  0.947  0.947  0.698
Al  0.177  0.177  0.005
Al  0.275  0.275  0.649
Al  0.394  0.394  0.341
Al  0.606  0.606  0.659
Al  0.725  0.725  0.351
Al  0.823  0.823  0.995
Ge  0.500  0.500  0.000


A relaxed Hf8Al3Ge2 crystal. Source: Alexandria via LeMat-Bulk, functional PBE.

Values from the calculation:
total DFT energy (no corrections): -101.7 eV for the cell shown
DOS(E_F): 9.7 states/eV/cell
V: 274.1 Å³ per cell
space group: No. 12
E_form: -124 meV per atom

Lattice parameters (Å, degrees): 7.519 7.519 5.404 91.99 91.99 63.87
Fractional coordinates of all 13 atoms:
Hf  0.063  0.681  0.372
Hf  0.103  0.103  0.121
Hf  0.319  0.937  0.628
Hf  0.322  0.322  0.902
Hf  0.678  0.678  0.098
Hf  0.681  0.063  0.372
Hf  0.897  0.897  0.879
Hf  0.937  0.319  0.628
Al  0.306  0.694  0.000
Al  0.500  0.500  0.500
Al  0.694  0.306  0.000
Ge  0.283  0.283  0.405
Ge  0.717  0.717  0.595


Question: Which of these has the highest E_form?
Answer: Hf8Al3Ge2